(1)
A plane-wave DFT calculation with PBE was carried out for a relaxed structure of La3Zn5.

CIF file:
```
data_La3Zn5
_symmetry_space_group_name_H-M 'C m m m'
_symmetry_Int_Tables_number 65
_symmetry_space_group_name_Hall '-C 2 2'
_cell_length_a 7.204
_cell_length_b 10.496
_cell_length_c 5.220
_cell_angle_alpha 90.00
_cell_angle_beta 90.00
_cell_angle_gamma 90.00
loop_
_atom_site_label
_atom_site_fract_x
_atom_site_fract_y
_atom_site_fract_z
_atom_site_occupancy
La1 0.000 0.000 0.000 1
La2 0.000 0.296 0.500 1
Zn1 0.000 0.500 0.000 1
Zn2 0.201 0.000 0.500 1
Zn3 0.250 0.250 0.000 1
```

Properties
The calculation puts the total energy at -23.04 eV per formula unit. As for the calculated volume: 24.67 Å³ per atom. Its density of states at the Fermi level is 13.82 states/eV per cell. Its formation energy is -1.886 eV per formula unit. As for the size of the total moment: 0.00 μB/f.u. The calculation puts the energy above the most stable polymorph in this dataset at 0.0141 eV per atom.

---

(2)
A plane-wave DFT calculation with PBE was carried out for a relaxed structure of La2Zn3.

CIF file:
```
data_La2Zn3
_symmetry_space_group_name_H-M 'F d d 2'
_symmetry_Int_Tables_number 43
_symmetry_space_group_name_Hall 'F 2 -2d'
_cell_length_a 9.999
_cell_length_b 16.143
_cell_length_c 5.985
_cell_angle_alpha 90.00
_cell_angle_beta 90.00
_cell_angle_gamma 90.00
loop_
_atom_site_label
_atom_site_fract_x
_atom_site_fract_y
_atom_site_fract_z
_atom_site_occupancy
La1 0.082 0.299 0.000 1
Zn1 0.000 0.000 0.278 1
Zn2 0.080 0.376 0.505 1
```

Properties
The calculation puts the total energy at -15.09 eV per formula unit. As for the calculated volume: 24.15 Å³ per atom. Its density of states at the Fermi level is 48.85 states/eV per cell. Its formation energy is -1.408 eV per formula unit. As for the size of the total moment: 0.00 μB/f.u.

---

(3)
A plane-wave DFT calculation with PBE was carried out for a relaxed structure of LaZn.

CIF file:
```
data_LaZn
_symmetry_space_group_name_H-M 'P 63/m'
_symmetry_Int_Tables_number 176
_symmetry_space_group_name_Hall '-P 6c'
_cell_length_a 9.4833
_cell_length_b 9.4833
_cell_length_c 4.2332
_cell_angle_alpha 90.00
_cell_angle_beta 90.00
_cell_angle_gamma 120.00
loop_
_atom_site_label
_atom_site_fract_x
_atom_site_fract_y
_atom_site_fract_z
_atom_site_occupancy
La1 0.1120 0.6670 0.2500 1
Zn1 0.0402 0.8530 0.7500 1
```

Properties
The calculation puts the total energy at -6.27 eV per formula unit. As for the calculated volume: 27.48 Å³ per atom. Its density of states at the Fermi level is 14.25 states/eV per cell. Its formation energy is -0.070 eV per formula unit. As for the size of the total moment: 0.00 μB/f.u.

---

- Which value of calculated volume does entry 3 give?
  27.48 Å³ per atom

---

- Among the records above, which one has the highest density of states at the Fermi level?
  La2Zn3